Material: NpMnO6
Method: DFT, GGA+U
State: optimized geometry

## Properties
- Raw total energy: -7.920 eV/atom
- D(E_F): 2.28 states/eV/cell

Cell: 4.9438 5.3382 4.9411 Å, 83.24 75.89 62.58°
Last column: nearest neighbours and their distance in Å.
Fractional coordinates of all 8 atoms:
1 O 0.3864 0.7409 0.7458  1 Mn 1.92, 1 Np 1.99
2 O 0.8704 0.7409 0.2574  1 Mn 1.92, 1 Np 1.99
3 O 0.2546 0.9999 0.2578  1 Mn 1.90, 1 Np 2.00
4 O 0.1296 0.2591 0.7426  1 Mn 1.92, 1 Np 1.99
5 Np 0.0000 0.0000 0.0000  6 O 1.99-2.00
6 Mn 0.5000 0.0000 0.5000  6 O 1.90-1.92
7 O 0.7454 0.0001 0.7422  1 Mn 1.90, 1 Np 2.00
8 O 0.6136 0.2591 0.2542  1 Mn 1.92, 1 Np 1.99